Entry from the Alexandria database: a relaxed Sr2CaCdH crystal (GGA-PBE).

Unit cell a=5.3571 b=5.3571 c=5.3521 alpha=90.00 beta=90.00 gamma=90.00
Closest atoms and distances in Å follow each position.
Positions (direct):
H: 0.0000 0.0000 0.0000  2 Cd 2.68, 4 Sr 2.68
Ca: 0.5000 0.5000 0.5000  8 Sr 3.79, 4 Cd 3.79
Sr: 0.0000 0.5000 0.0000  2 H 2.68
Cd: 0.0000 0.0000 0.5000  2 H 2.68
Sr: 0.5000 0.0000 0.0000  2 H 2.68

Values from the calculation:
* crystal system: tetragonal
* size of the total moment: 0.000 μB per cell
* energy above the most stable polymorph in this dataset: 114 meV/atom

Entry from the Alexandria database: a relaxed SrCaCd2H8 crystal (GGA-PBE).

Unit cell a=5.1714 b=5.1714 c=7.7845 alpha=90.00 beta=90.00 gamma=120.00
Closest atoms and distances in Å follow each position.
Positions (direct):
H: 0.2746 0.9732 0.7102  1 Cd 1.82
Cd: 0.6667 0.3333 0.2298  4 H 1.82
Cd: 0.3333 0.6667 0.7702  4 H 1.82
Ca: 0.0000 0.0000 0.5000  6 H 2.22
H: 0.3014 0.2746 0.2898  1 Cd 1.82
H: 0.3333 0.6667 0.0045  1 Cd 1.82
Sr: 0.0000 0.0000 0.0000  12 H 2.71-2.99
H: 0.6667 0.3333 0.9955  1 Cd 1.82
H: 0.0268 0.3014 0.7102  1 Cd 1.82
H: 0.9732 0.6986 0.2898  1 Cd 1.82
H: 0.7254 0.0268 0.2898  1 Cd 1.82
H: 0.6986 0.7254 0.7102  1 Cd 1.82

Values from the calculation:
* crystal system: trigonal
* E_tot: -34.09 eV for the cell shown
* size of the total moment: 0.000 μB per cell

Entry from the Alexandria database: a relaxed CaTaCd2H crystal (GGA-PBE).

Unit cell a=5.6021 b=3.4431 c=5.6021 alpha=90.00 beta=90.00 gamma=90.00
Closest atoms and distances in Å follow each position.
Positions (direct):
Cd: 0.5000 0.0000 0.0000  2 Ca 2.80
Ca: 0.0000 0.0000 0.0000  2 H 1.72
Cd: 0.0000 0.0000 0.5000  2 Ca 2.80
H: 0.0000 0.5000 0.0000  2 Ca 1.72
Ta: 0.5000 0.5000 0.5000  8 Cd 3.29, 2 Ta 3.44

Values from the calculation:
* crystal system: tetragonal
* E_tot: -14.58 eV for the cell shown
* size of the total moment: 1.637 μB per cell

Entry from the Alexandria database: a relaxed CaTi2CdH crystal (GGA-PBE).

Unit cell a=5.6581 b=3.5963 c=5.6581 alpha=90.00 beta=90.00 gamma=90.00
Closest atoms and distances in Å follow each position.
Positions (direct):
H: 0.0000 0.5000 0.0000  2 Cd 1.80
Ti: 0.0000 0.0000 0.5000  2 Cd 2.83
Ca: 0.5000 0.5000 0.5000  8 Ti 3.35, 2 Ca 3.60
Ti: 0.5000 0.0000 0.0000  2 Cd 2.83
Cd: 0.0000 0.0000 0.0000  2 H 1.80

Values from the calculation:
* crystal system: tetragonal
* E_tot: -17.00 eV for the cell shown
* size of the total moment: 4.848 μB per cell

Entry from the Alexandria database: a relaxed CaTl2CdH crystal (GGA-PBE).

Unit cell a=5.1527 b=5.1527 c=4.3547 alpha=90.00 beta=90.00 gamma=90.00
Closest atoms and distances in Å follow each position.
Positions (direct):
Tl: 0.5000 0.0000 0.0000  2 H 2.58
H: 0.0000 0.0000 0.0000  2 Ca 2.18
Cd: 0.5000 0.5000 0.5000  8 Tl 3.37, 4 Ca 3.64
Ca: 0.0000 0.0000 0.5000  2 H 2.18
Tl: 0.0000 0.5000 0.0000  2 H 2.58

Values from the calculation:
* crystal system: tetragonal
* E_tot: -11.55 eV for the cell shown
* size of the total moment: 0.000 μB per cell

Entry from the Alexandria database: a relaxed Ca2TlCdH crystal (GGA-PBE).

Unit cell a=4.9957 b=4.9957 c=4.5041 alpha=90.00 beta=90.00 gamma=90.00
Closest atoms and distances in Å follow each position.
Positions (direct):
Ca: 0.5000 0.0000 0.0000  2 H 2.50
H: 0.0000 0.0000 0.0000  2 Cd 2.25, 4 Ca 2.50
Cd: 0.0000 0.0000 0.5000  2 H 2.25
Ca: 0.0000 0.5000 0.0000  2 H 2.50
Tl: 0.5000 0.5000 0.5000  8 Ca 3.36, 4 Cd 3.53

Values from the calculation:
* crystal system: tetragonal
* size of the total moment: 0.000 μB per cell
* energy above the most stable polymorph in this dataset: 0 meV/atom

Entry from the Alexandria database: a relaxed Ca2TlCdH crystal (GGA-PBE).

Unit cell a=5.0867 b=5.0867 c=4.5186 alpha=90.00 beta=90.00 gamma=90.00
Closest atoms and distances in Å follow each position.
Positions (direct):
Ca: 0.5000 0.0000 0.0000  2 H 2.54
Cd: 0.5000 0.5000 0.5000  8 Ca 3.40, 4 Tl 3.60
Ca: 0.0000 0.5000 0.0000  2 H 2.54
H: 0.0000 0.0000 0.0000  2 Tl 2.26
Tl: 0.0000 0.0000 0.5000  2 H 2.26

Values from the calculation:
* crystal system: tetragonal
* size of the total moment: 0.000 μB per cell
* energy above the most stable polymorph in this dataset: 65 meV/atom

Entry from the Alexandria database: a relaxed Ca2ZnCdH crystal (GGA-PBE).

Unit cell a=4.9911 b=4.9911 c=4.1670 alpha=90.00 beta=90.00 gamma=90.00
Closest atoms and distances in Å follow each position.
Positions (direct):
Cd: 0.5000 0.5000 0.5000  8 Ca 3.25, 4 Zn 3.53
Zn: 0.0000 0.0000 0.5000  2 H 2.08
Ca: 0.0000 0.5000 0.0000  2 H 2.50
Ca: 0.5000 0.0000 0.0000  2 H 2.50
H: 0.0000 0.0000 0.0000  2 Zn 2.08

Values from the calculation:
* crystal system: tetragonal
* size of the total moment: 0.000 μB per cell
* energy above the most stable polymorph in this dataset: 0 meV/atom

Entry from the Alexandria database: a relaxed Ca2ZnCdH crystal (GGA-PBE).

Unit cell a=4.9532 b=4.9532 c=4.3009 alpha=90.00 beta=90.00 gamma=90.00
Closest atoms and distances in Å follow each position.
Positions (direct):
Zn: 0.5000 0.5000 0.5000  8 Ca 3.28, 4 Cd 3.50
Ca: 0.5000 0.0000 0.0000  2 H 2.48
Ca: 0.0000 0.5000 0.0000  2 H 2.48
H: 0.0000 0.0000 0.0000  2 Cd 2.15
Cd: 0.0000 0.0000 0.5000  2 H 2.15

Values from the calculation:
* crystal system: tetragonal
* size of the total moment: 0.000 μB per cell
* energy above the most stable polymorph in this dataset: 37 meV/atom

Entry from the Alexandria database: a relaxed CaZr2CdH crystal (GGA-PBE).

Unit cell a=4.4920 b=4.4920 c=4.9107 alpha=90.00 beta=90.00 gamma=90.00
Closest atoms and distances in Å follow each position.
Positions (direct):
Zr: 0.5000 0.0000 0.0000  2 H 2.25
H: 0.0000 0.0000 0.0000  4 Zr 2.25, 2 Ca 2.46
Zr: 0.0000 0.5000 0.0000  2 H 2.25
Cd: 0.5000 0.5000 0.5000  4 Ca 3.18, 8 Zr 3.33
Ca: 0.0000 0.0000 0.5000  2 H 2.46

Values from the calculation:
* crystal system: tetragonal
* E_tot: -23.61 eV for the cell shown
* size of the total moment: 0.000 μB per cell

Entry from the Alexandria database: a relaxed CaHf2Cd2 crystal (GGA-PBE).

Unit cell a=4.4693 b=4.4693 c=7.4047 alpha=72.43 beta=72.43 gamma=90.00
Closest atoms and distances in Å follow each position.
Positions (direct):
Hf: 0.6049 0.6049 0.7903  1 Hf 2.81, 4 Cd 2.96
Hf: 0.3951 0.3951 0.2097  1 Hf 2.81, 4 Cd 2.96
Cd: 0.2500 0.7500 0.5000  4 Hf 2.96, 4 Cd 3.16
Ca: 0.0000 0.0000 0.0000  8 Hf 3.46
Cd: 0.7500 0.2500 0.5000  4 Hf 2.96, 4 Cd 3.16

Values from the calculation:
* crystal system: tetragonal
* formation enthalpy at 0 K: 489 meV/atom
* size of the total moment: 0.589 μB per cell
* energy above the most stable polymorph in this dataset: 349 meV/atom

Entry from the Alexandria database: a relaxed CaHfCd crystal (GGA-PBE).

Unit cell a=6.1348 b=5.5752 c=6.1363 alpha=62.98 beta=115.66 gamma=117.02
Closest atoms and distances in Å follow each position.
Positions (direct):
Ca: 0.7664 0.6134 0.2767  6 Cd 3.40-3.69, 6 Hf 3.54-3.73, 2 Ca 3.58
Ca: 0.5109 0.8577 0.5326  6 Cd 3.39-3.69, 6 Hf 3.54-3.73, 2 Ca 3.58
Hf: 0.1371 0.2344 0.9062  2 Hf 2.79, 4 Cd 3.06-3.07
Hf: 0.1402 0.7375 0.9031  2 Hf 2.79, 4 Cd 3.06-3.07
Cd: 0.6386 0.2375 0.9045  4 Hf 3.06-3.07, 2 Cd 3.27, 4 Ca 3.39-3.41
Cd: 0.1386 0.2373 0.4047  4 Hf 3.06-3.07, 2 Cd 3.27, 4 Ca 3.40-3.41

Values from the calculation:
* crystal system: orthorhombic
* formation enthalpy at 0 K: 49 meV/atom
* size of the total moment: 0.000 μB per cell
* energy above the most stable polymorph in this dataset: 0 meV/atom

Entry from the Alexandria database: a relaxed CaHf2Cd2 crystal (GGA-PBE).

Unit cell a=8.8237 b=8.8237 c=3.1186 alpha=90.00 beta=90.00 gamma=90.00
Closest atoms and distances in Å follow each position.
Positions (direct):
Hf: 0.3826 0.8826 0.0000  3 Hf 2.93-3.12, 6 Cd 2.99-3.08
Cd: 0.8221 0.3221 0.5000  6 Hf 2.99-3.08, 2 Cd 3.12
Cd: 0.6779 0.8221 0.5000  6 Hf 2.99-3.08, 2 Cd 3.12
Hf: 0.1174 0.3826 0.0000  3 Hf 2.93-3.12, 6 Cd 2.99-3.08
Cd: 0.1779 0.6779 0.5000  6 Hf 2.99-3.08, 2 Cd 3.12
Ca: 0.0000 0.0000 0.0000  2 Ca 3.12
Hf: 0.6174 0.1174 0.0000  3 Hf 2.93-3.12, 6 Cd 2.99-3.08
Cd: 0.3221 0.1779 0.5000  6 Hf 2.99-3.08, 2 Cd 3.12
Ca: 0.5000 0.5000 0.0000  2 Ca 3.12
Hf: 0.8826 0.6174 0.0000  3 Hf 2.93-3.12, 6 Cd 2.99-3.08

Values from the calculation:
* crystal system: tetragonal
* formation enthalpy at 0 K: 139 meV/atom
* size of the total moment: 0.000 μB per cell
* energy above the most stable polymorph in this dataset: 0 meV/atom

Entry from the Alexandria database: a relaxed CaHfCd2 crystal (GGA-PBE).

Unit cell a=3.5677 b=3.5677 c=7.5961 alpha=90.00 beta=90.00 gamma=90.00
Closest atoms and distances in Å follow each position.
Positions (direct):
Cd: 0.0000 0.0000 0.2234  4 Hf 3.04, 4 Ca 3.28, 1 Cd 3.39
Ca: 0.5000 0.5000 0.5000  8 Cd 3.28, 4 Ca 3.57
Cd: 0.0000 0.0000 0.7766  4 Hf 3.04, 4 Ca 3.28, 1 Cd 3.39
Hf: 0.5000 0.5000 0.0000  8 Cd 3.04

Values from the calculation:
* crystal system: tetragonal
* formation enthalpy at 0 K: -86 meV/atom
* size of the total moment: 0.000 μB per cell
* energy above the most stable polymorph in this dataset: 0 meV/atom

no.,theoretical density (Mg/m³)
1,3.55
2,3.32
3,6.87
4,3.59
5,8.08
6,5.88
7,5.65
8,4.14
9,4.08
10,5.63
11,7.72
12,6.89
13,8.51
14,7.61